# HfFe2RhC GGA-PBE relaxed
# total energy	-8.960	eV/atom
# density	11.0	Mg/m³
# calculated formation energy	-0.2688	eV/atom
# magnetic moment	1.05	Bohr magnetons per cell
data_HfFe2RhC
_cell_length_a 3.8700
_cell_length_b 3.8700
_cell_length_c 4.0737
_cell_angle_alpha 90.00
_cell_angle_beta 90.00
_cell_angle_gamma 90.00
_space_group_name_H-M_alt 'P 4/m m m'
_space_group_IT_number 123
_space_group_name_Hall '-P 4 2'
loop_
_atom_site_label
_atom_site_type_symbol
_atom_site_fract_x
_atom_site_fract_y
_atom_site_fract_z
Hf1 Hf 0.0000 0.0000 0.0000
Fe1 Fe 0.0000 0.5000 0.5000
Rh1 Rh 0.5000 0.5000 0.0000
C1 C 0.5000 0.5000 0.5000


# TlVI2Br GGA-PBE relaxed
# total energy	-3.739	eV/atom
# density	5.8	Mg/m³
# raw formation energy	-0.49	eV per atom
# magnetic moment	3.00	Bohr magnetons per cell
data_TlVI2Br
_cell_length_a 5.7155
_cell_length_b 5.7155
_cell_length_c 5.2071
_cell_angle_alpha 90.00
_cell_angle_beta 90.00
_cell_angle_gamma 90.00
_space_group_name_H-M_alt 'P 4/m m m'
_space_group_IT_number 123
_space_group_name_Hall '-P 4 2'
loop_
_atom_site_label
_atom_site_type_symbol
_atom_site_fract_x
_atom_site_fract_y
_atom_site_fract_z
Tl1 Tl 0.0000 0.0000 0.0000
V1 V 0.5000 0.5000 0.5000
I1 I 0.0000 0.5000 0.5000
Br1 Br 0.5000 0.5000 0.0000


# Ac2TbCuO5 GGA-PBE relaxed
# total energy	-7.220	eV/atom
# density	9.0	Mg/m³
# raw formation energy	-2.58	eV per atom
# magnetic moment	0.00	Bohr magnetons per cell
data_Ac2TbCuO5
_cell_length_a 3.8167
_cell_length_b 3.8167
_cell_length_c 9.5495
_cell_angle_alpha 90.00
_cell_angle_beta 90.00
_cell_angle_gamma 90.00
_space_group_name_H-M_alt 'P 4/m m m'
_space_group_IT_number 123
_space_group_name_Hall '-P 4 2'
loop_
_atom_site_label
_atom_site_type_symbol
_atom_site_fract_x
_atom_site_fract_y
_atom_site_fract_z
Ac1 Ac 0.0000 0.0000 0.1948
Tb1 Tb 0.5000 0.5000 0.5000
Cu1 Cu 0.5000 0.5000 0.0000
O1 O 0.0000 0.0000 0.5000
O2 O 0.0000 0.5000 0.0000
O3 O 0.5000 0.5000 0.2705


# TiGeSe2Br GGA-PBE relaxed
# total energy	-3.968	eV/atom
# polymorph energy (0 for the lowest one)	500	meV per atom
# density	4.6	Mg/m³
# raw formation energy	0.26	eV per atom
# magnetic moment	1.76	Bohr magnetons per cell
data_TiGeSe2Br
_cell_length_a 5.0492
_cell_length_b 5.0492
_cell_length_c 5.0964
_cell_angle_alpha 90.00
_cell_angle_beta 90.00
_cell_angle_gamma 90.00
_space_group_name_H-M_alt 'P 4/m m m'
_space_group_IT_number 123
_space_group_name_Hall '-P 4 2'
loop_
_atom_site_label
_atom_site_type_symbol
_atom_site_fract_x
_atom_site_fract_y
_atom_site_fract_z
Ti1 Ti 0.0000 0.0000 0.0000
Ge1 Ge 0.5000 0.5000 0.5000
Se1 Se 0.0000 0.5000 0.5000
Br1 Br 0.5000 0.5000 0.0000


# BN2Cl GGA-PBE relaxed
# total energy	-5.375	eV/atom
# polymorph energy (0 for the lowest one)	436	meV per atom
# density	3.2	Mg/m³
# raw formation energy	0.92	eV per atom
# magnetic moment	0.00	Bohr magnetons per cell
data_BN2Cl
_cell_length_a 4.5884
_cell_length_b 4.5884
_cell_length_c 7.3284
_cell_angle_alpha 90.00
_cell_angle_beta 90.00
_cell_angle_gamma 90.00
_space_group_name_H-M_alt 'I -4 2 d'
_space_group_IT_number 122
_space_group_name_Hall 'I -4 2bw'
loop_
_atom_site_label
_atom_site_type_symbol
_atom_site_fract_x
_atom_site_fract_y
_atom_site_fract_z
B1 B 0.0000 0.0000 0.0000
N1 N 0.1121 0.2500 0.1250
Cl1 Cl 0.0000 0.0000 0.5000


# MnInRh2C GGA-PBE relaxed
# total energy	-7.246	eV/atom
# density	9.5	Mg/m³
# calculated formation energy	-0.0788	eV/atom
# magnetic moment	2.29	Bohr magnetons per cell
data_MnInRh2C
_cell_length_a 4.1708
_cell_length_b 4.1708
_cell_length_c 3.9132
_cell_angle_alpha 90.00
_cell_angle_beta 90.00
_cell_angle_gamma 90.00
_space_group_name_H-M_alt 'P 4/m m m'
_space_group_IT_number 123
_space_group_name_Hall '-P 4 2'
loop_
_atom_site_label
_atom_site_type_symbol
_atom_site_fract_x
_atom_site_fract_y
_atom_site_fract_z
Mn1 Mn 0.0000 0.0000 0.0000
In1 In 0.5000 0.5000 0.0000
Rh1 Rh 0.0000 0.5000 0.5000
C1 C 0.0000 0.0000 0.5000


# LiPm3Cd12 GGA-PBE relaxed
# total energy	-1.941	eV/atom
# density	7.7	Mg/m³
# calculated formation energy	-0.2444	eV/atom
# magnetic moment	0.00	Bohr magnetons per cell
data_LiPm3Cd12
_cell_length_a 4.6288
_cell_length_b 4.6288
_cell_length_c 18.0907
_cell_angle_alpha 90.00
_cell_angle_beta 90.00
_cell_angle_gamma 90.00
_space_group_name_H-M_alt 'P 4/m m m'
_space_group_IT_number 123
_space_group_name_Hall '-P 4 2'
loop_
_atom_site_label
_atom_site_type_symbol
_atom_site_fract_x
_atom_site_fract_y
_atom_site_fract_z
Li1 Li 0.0000 0.0000 0.0000
Pm1 Pm 0.0000 0.0000 0.2363
Pm2 Pm 0.0000 0.0000 0.5000
Cd1 Cd 0.0000 0.5000 0.1099
Cd2 Cd 0.0000 0.5000 0.3688
Cd3 Cd 0.5000 0.5000 0.0000
Cd4 Cd 0.5000 0.5000 0.2345
Cd5 Cd 0.5000 0.5000 0.5000


# MgTcN2O GGA-PBE relaxed
# total energy	-5.611	eV/atom
# density	4.8	Mg/m³
# raw formation energy	1.10	eV per atom
# magnetic moment	1.00	Bohr magnetons per cell
data_MgTcN2O
_cell_length_a 3.9563
_cell_length_b 3.9563
_cell_length_c 3.7085
_cell_angle_alpha 90.00
_cell_angle_beta 90.00
_cell_angle_gamma 90.00
_space_group_name_H-M_alt 'P 4/m m m'
_space_group_IT_number 123
_space_group_name_Hall '-P 4 2'
loop_
_atom_site_label
_atom_site_type_symbol
_atom_site_fract_x
_atom_site_fract_y
_atom_site_fract_z
Mg1 Mg 0.0000 0.0000 0.0000
Tc1 Tc 0.5000 0.5000 0.5000
N1 N 0.0000 0.5000 0.0000
O1 O 0.0000 0.0000 0.5000